# 1
This record from Alexandria via LeMat-Bulk describes crystalline SiPbBr2 at its relaxed geometry. The functional is PBE.

The space group is R-3m (No. 166, hexagonal axes) and the conventional cell measures 3.7106, 3.7106 and 33.1875 Å, with angles of 90.00, 90.00 and 120.00 degrees. The distinct sites, in fractional coordinates, are Si at (0.0000, 0.0000, 0.0000), Pb at (0.0000, 0.0000, 0.5000) and Br at (0.0000, 0.0000, 0.2818).

For the formation energy from raw total energies, the calculation gives 0.02 eV per atom.

***

# 2
This record from Alexandria via LeMat-Bulk describes crystalline Si2PbBr at its relaxed geometry. The functional is PBE.

The space group is Fm-3m (No. 225) and the conventional cell measures 7.135, 7.135 and 7.135 Å, with angles of 90.00, 90.00 and 90.00 degrees. The distinct sites, in fractional coordinates, are Si at (0.250, 0.250, 0.250), Pb at (0.000, 0.000, 0.000) and Br at (0.000, 0.000, 0.500).

For the formation energy from raw total energies, the calculation gives 0.65 eV per atom.

***

# 3
This record from Alexandria via LeMat-Bulk describes crystalline Si2Pb2Br at its relaxed geometry. The functional is PBE.

The space group is I4/mmm (No. 139) and the conventional cell measures 3.789, 3.789 and 18.116 Å, with angles of 90.00, 90.00 and 90.00 degrees. The distinct sites, in fractional coordinates, are Si at (0.000, 0.500, 0.250), Pb at (0.000, 0.000, 0.121) and Br at (0.000, 0.000, 0.500).

For the formation energy from raw total energies, the calculation gives -0.01 eV per atom.

***

# 4
This record from Alexandria via LeMat-Bulk describes crystalline Si2PbBr at its relaxed geometry. The functional is PBE.

The space group is Immm (No. 71) and the conventional cell measures 3.409, 4.978 and 11.368 Å, with angles of 90.00, 90.00 and 90.00 degrees. The distinct sites, in fractional coordinates, are Si at (0.000, 0.000, 0.229), Pb at (0.000, 0.500, 0.500) and Br at (0.000, 0.500, 0.000).

For the formation energy from raw total energies, the calculation gives 0.52 eV per atom.

***

# 5
This record from Alexandria via LeMat-Bulk describes crystalline SiPbBr2 at its relaxed geometry. The functional is PBE.

The space group is P4/mmm (No. 123) and the conventional cell measures 3.460, 3.460 and 8.809 Å, with angles of 90.00, 90.00 and 90.00 degrees. The distinct sites, in fractional coordinates, are Si at (0.000, 0.000, 0.000), Pb at (0.000, 0.000, 0.500) and Br at (0.500, 0.500, 0.196).

For the formation energy from raw total energies, the calculation gives 0.18 eV per atom.

***

# 6
This record from Alexandria via LeMat-Bulk describes crystalline SiPbBr2 at its relaxed geometry. The functional is PBE.

The space group is R-3m (No. 166, hexagonal axes) and the conventional cell measures 3.7244, 3.7244 and 33.8254 Å, with angles of 90.00, 90.00 and 120.00 degrees. The distinct sites, in fractional coordinates, are Si at (0.0000, 0.0000, 0.0000), Pb at (0.0000, 0.0000, 0.5000) and Br at (0.0000, 0.0000, 0.3837).

For the formation energy from raw total energies, the calculation gives 0.03 eV per atom.

***

# 7
This record from Alexandria via LeMat-Bulk describes crystalline Si2PbBr at its relaxed geometry. The functional is PBE.

The space group is Pmmm (No. 47) and the conventional cell measures 3.227, 4.873 and 6.076 Å, with angles of 90.00, 90.00 and 90.00 degrees. The distinct sites, in fractional coordinates, are Si at (0.000, 0.000, 0.204), Pb at (0.500, 0.500, 0.500) and Br at (0.500, 0.500, 0.000).

For the formation energy from raw total energies, the calculation gives 0.60 eV per atom.

***

# 8
This record from Alexandria via LeMat-Bulk describes crystalline Si2PbBr at its relaxed geometry. The functional is PBE.

The space group is Imm2 (No. 44) and the conventional cell measures 3.422, 4.951 and 11.196 Å, with angles of 90.00, 90.00 and 90.00 degrees. The distinct sites, in fractional coordinates, are Si at (0.000, 0.000, 0.000), Si at (0.000, 0.500, 0.342), Pb at (0.000, 0.000, 0.594) and Br at (0.000, 0.500, 0.795).

For the formation energy from raw total energies, the calculation gives 0.34 eV per atom.

***

# 9
This record from Alexandria via LeMat-Bulk describes crystalline Si2PbBr at its relaxed geometry. The functional is PBE.

The space group is P4/mmm (No. 123) and the conventional cell measures 3.477, 3.477 and 7.737 Å, with angles of 90.00, 90.00 and 90.00 degrees. The distinct sites, in fractional coordinates, are Si at (0.000, 0.000, 0.244), Pb at (0.500, 0.500, 0.000) and Br at (0.500, 0.500, 0.500).

For the formation energy from raw total energies, the calculation gives 0.63 eV per atom.

***

# 10
This record from Alexandria via LeMat-Bulk describes crystalline Si2PbBr at its relaxed geometry. The functional is PBE.

The space group is Cm (No. 8) and the conventional cell measures 6.812, 3.931 and 8.112 Å, with angles of 90.00, 105.82 and 90.00 degrees. The distinct sites, in fractional coordinates, are Si at (0.000, 0.000, 0.000), Si at (0.196, 0.500, 0.091), Pb at (0.452, 0.000, 0.373) and Br at (0.206, 0.000, 0.637).

For the formation energy from raw total energies, the calculation gives 0.01 eV per atom.

***

# 11
This record from Alexandria via LeMat-Bulk describes crystalline Si2Pb2Br at its relaxed geometry. The functional is PBE.

The space group is P4/mbm (No. 127) and the conventional cell measures 8.404, 8.404 and 4.073 Å, with angles of 90.00, 90.00 and 90.00 degrees. The distinct sites, in fractional coordinates, are Si at (0.095, 0.405, 0.000), Pb at (0.185, 0.685, 0.500) and Br at (0.000, 0.000, 0.500).

For the formation energy from raw total energies, the calculation gives 0.26 eV per atom.

***

# 12
This record from Alexandria via LeMat-Bulk describes crystalline SiPbBr2 at its relaxed geometry. The functional is PBE.

The space group is Pmmm (No. 47) and the conventional cell measures 3.677, 4.798 and 6.186 Å, with angles of 90.00, 90.00 and 90.00 degrees. The distinct sites, in fractional coordinates, are Si at (0.000, 0.000, 0.000), Pb at (0.500, 0.000, 0.500), Br at (0.000, 0.500, 0.500) and Br at (0.500, 0.500, 0.000).

For the formation energy from raw total energies, the calculation gives 0.06 eV per atom.

***

Among the records above, which one has the lowest formation energy from raw total energies?
number 3

***

What is the formation energy from raw total energies in the second record?
0.65 eV per atom